Here is a relaxed structure of CsGa2HgRu from Alexandria via LeMat-Bulk. Energies are from PBE.

Summary:
E_tot: -17.16 eV for the cell shown
Theoretical density: 7.1 g/cm³
Total moment: 0.0 Bohr magnetons per cell
V: 26.85 A^3/atom
Energy relative to the elements: -135 meV/atom

Structure (POSCAR):
```
CsGa2HgRu
1.0
4.928 0.000 0.000
0.000 4.928 0.000
0.000 0.000 5.529
Cs Ga Hg Ru
1 2 1 1
direct
0.000 0.000 0.000 Cs
0.000 0.500 0.500 Ga
0.500 0.000 0.500 Ga
0.500 0.500 0.000 Hg
0.500 0.500 0.500 Ru
```

Here is a relaxed structure of La2ZnAs2O from Alexandria via LeMat-Bulk. Energies are from PBE.

Summary:
E_tot: -28.06 eV for the cell shown
Energy relative to the elements, uncorrected: -0.445 eV per atom
Theoretical density: 4.8 g/cm³
Total moment: 0.3 Bohr magnetons per cell
V: 29.13 A^3/atom

Structure (POSCAR):
```
La2ZnAs2O
1.0
3.417 0.000 0.000
0.000 3.417 0.000
0.000 0.000 14.973
La Zn As O
2 1 2 1
direct
0.000 0.000 0.141 La
0.000 0.000 0.859 La
0.000 0.000 0.500 Zn
0.000 0.000 0.343 As
0.000 0.000 0.657 As
0.000 0.000 0.000 O
```

Here is a relaxed structure of PuSnSbO from Alexandria via LeMat-Bulk. Energies are from PBE.

Summary:
E_tot: -31.77 eV for the cell shown
Energy relative to the elements, uncorrected: -1.089 eV per atom
Theoretical density: 9.1 g/cm³
Total moment: 5.4 Bohr magnetons per cell
V: 22.73 A^3/atom

Structure (POSCAR):
```
PuSnSbO
1.0
-1.602 1.602 8.858
1.602 -1.602 8.858
1.602 1.602 -8.858
Pu Sn Sb O
1 1 1 1
direct
0.000 0.000 0.000 Pu
0.682 0.682 0.000 Sn
0.352 0.352 0.000 Sb
0.548 0.548 0.000 O
```